Below is a relaxed Ba2TaHg crystal, with properties calculated at the GGA-PBE level.

energy of formation from the pure elements: 0.51 eV per atom
DFT total energy: -13.9 eV for the cell shown
ρ: 7.790 Mg/m³
V: 34.97 Å³ per atom
total moment: 0.000 μB per cell

abc: 3.7515 3.7515 9.9380
angles: 90.00 90.00 90.00
With the nearest neighbours (Å) after each atom.
Space group P4mm (No. 99)
Inequivalent atoms, fractional coordinates:
Ba: 0.0000 0.0000 0.0000  4 Ta 3.59, 1 Hg 3.61, 4 Ba 3.75
Ba: 0.5000 0.5000 0.3964  4 Hg 3.57, 1 Ta 3.57, 4 Ba 3.75
Ta: 0.5000 0.5000 0.7559  4 Hg 2.90
Hg: 0.0000 0.0000 0.6370  4 Ta 2.90

Below is a relaxed BaTa2Hg crystal, with properties calculated at the GGA-PBE level.

energy of formation from the pure elements: 1.12 eV per atom
DFT total energy: -42.9 eV for the cell shown
ρ: 12.025 Mg/m³
V: 24.16 Å³ per atom
total moment: 0.001 μB per cell

abc: 4.3919 4.3919 10.0203
angles: 90.00 90.00 90.00
With the nearest neighbours (Å) after each atom.
Space group I4/mmm (No. 139)
Inequivalent atoms, fractional coordinates:
Ba: 0.0000 0.0000 0.0000  4 Hg 3.11, 8 Ta 3.33
Ta: 0.0000 0.5000 0.2500  4 Ta 3.11, 4 Hg 3.33, 4 Ba 3.33
Hg: 0.0000 0.0000 0.5000  4 Ba 3.11, 8 Ta 3.33